# 1
The following is a DFT calculation (PBE) of a relaxed IrPb3O4 crystal.

extended XYZ file:
```
16
Lattice="6.1419 0.0000 0.0000 0.0000 6.1696 0.0000 0.0000 0.0000 7.8849" Properties=species:S:1:pos:R:3 pbc="T T T"
Pb 3.2884 1.9458 5.9751
Pb 0.5288 0.9618 3.9425
Pb 0.2175 4.2238 2.0326
Pb 0.2175 4.2238 5.8523
Pb 3.2884 1.9458 1.9099
Pb 3.5997 5.2078 0.0000
Ir 3.0324 4.3118 3.9425
Ir 6.1033 1.8578 0.0000
O 4.8137 5.1135 3.9425
O 2.7177 4.2295 1.9046
O 4.2742 2.8009 0.0000
O 5.7886 1.9401 2.0379
O 5.7886 1.9401 5.8470
O 1.2033 3.3687 3.9425
O 2.7177 4.2295 5.9804
O 1.7428 1.0562 0.0000
```

For the uncorrected formation energy, the calculation gives -0.73 eV/atom. As for the crystal system: orthorhombic. As for the volume: 18.7 A^3/atom. For the calculated density, the calculation gives 9757 kg/m³. The energy is -5.707 eV per atom.



# 2
The following is a DFT calculation (PBE) of a relaxed IrPb3O8 crystal.

extended XYZ file:
```
12
Lattice="5.9444 0.0075 0.0000 -2.7806 5.2539 0.0000 0.0000 0.0000 6.5476" Properties=species:S:1:pos:R:3 pbc="T T T"
O -0.3241 3.7768 0.0000
O 2.4291 3.6910 1.8225
O 2.1210 3.8762 4.7251
O 1.0427 1.3852 4.7251
O -0.0631 3.6198 3.2738
O 3.4878 1.4847 0.0000
O 0.7346 1.5705 1.8225
O 3.2268 1.6416 3.2738
Ir 1.5819 2.6307 3.2738
Pb 2.9722 0.0038 4.9303
Pb -1.3903 2.6270 1.6173
Pb 1.5819 2.6307 0.0000
```

For the uncorrected formation energy, the calculation gives -0.76 eV/atom. As for the crystal system: orthorhombic. As for the volume: 17.1 A^3/atom. For the calculated density, the calculation gives 7643 kg/m³. The energy is -5.731 eV per atom.



# 3
The following is a DFT calculation (PBE) of a relaxed IrPb3O6 crystal.

extended XYZ file:
```
20
Lattice="5.7323 0.0000 -0.1420 0.0000 6.3398 0.0000 0.1553 0.0000 8.4520" Properties=species:S:1:pos:R:3 pbc="T T T"
O 3.9033 1.6563 3.3266
O 1.8602 5.3436 8.2564
O 5.2450 5.7422 6.5454
O 1.9843 4.6834 4.9834
O 1.2389 2.1737 4.3506
O 4.0274 0.9961 0.0536
O 1.1148 1.5136 7.6236
O 0.6427 0.5975 1.7646
O 4.7728 4.8262 0.6864
O 4.6487 4.1660 3.9594
O 3.5865 2.5724 5.9196
O 2.3011 3.7674 2.3904
Pb 0.0777 0.0000 4.2260
Pb 2.8662 3.1699 -0.0710
Pb 2.9309 6.1160 1.8351
Pb 2.9567 0.2238 6.4749
Pb 5.7452 2.9461 2.1779
Pb 0.1424 3.3937 6.1321
Ir 2.9438 3.1699 4.1550
Ir 0.0000 0.0000 0.0000
```

For the uncorrected formation energy, the calculation gives -0.95 eV/atom. As for the crystal system: monoclinic. As for the volume: 15.4 A^3/atom. For the calculated density, the calculation gives 9833 kg/m³. The energy is -5.920 eV per atom.



The lowest volume belongs to which entry? IrPb3O6